Material: Ac6PPt2I2
Method: DFT, PBE
State: optimized geometry

Results
DFT total energy = -5.165 eV/atom
space group = C2/m, No. 12
ρ = 7.959 g/cm3
total moment = 0.0 Bohr magnetons per cell

Unit cell a=7.775 b=7.775 c=8.340 alpha=98.69 beta=98.69 gamma=118.14
Sites, in units of the cell vectors:
Ac (0.099, 0.429, 0.801)
Ac (0.212, 0.212, 0.202)
Ac (0.429, 0.099, 0.801)
Ac (0.571, 0.901, 0.199)
Ac (0.788, 0.788, 0.798)
Ac (0.901, 0.571, 0.199)
P (0.500, 0.500, 0.000)
Pt (0.170, 0.830, 0.000)
Pt (0.830, 0.170, 0.000)
I (0.337, 0.663, 0.500)
I (0.663, 0.337, 0.500)

---

Material: MgZn2Pb
Method: DFT, PBE
State: optimized geometry

Results
DFT total energy = -1.833 eV/atom
space group = F-43m, No. 216
offset from the most stable computed form = 2.042 kcal/mol of atoms
E_form = 0.13 eV/atom
ρ = 7.048 g/cm3
total moment = 0.0 Bohr magnetons per cell

Unit cell a=4.942 b=4.942 c=4.942 alpha=60.00 beta=60.00 gamma=60.00
Sites, in units of the cell vectors:
Mg (0.000, 0.000, 0.000)
Zn (0.500, 0.500, 0.500)
Zn (0.750, 0.750, 0.750)
Pb (0.250, 0.250, 0.250)

---

Material: AsIrAuC2
Method: DFT, PBE
State: optimized geometry

Results
DFT total energy = -6.483 eV/atom
space group = Pm, No. 6
offset from the most stable computed form = 0.300 kcal/mol of atoms
E_form = 0.56 eV/atom
ρ = 10.750 g/cm3
total moment = 0.0 Bohr magnetons per cell

Unit cell a=4.362 b=2.795 c=6.362 alpha=90.00 beta=103.51 gamma=90.00
Sites, in units of the cell vectors:
As (0.000, 0.000, 0.000)
Ir (0.856, 0.000, 0.602)
Au (0.560, 0.500, 0.170)
C (0.196, 0.500, 0.581)
C (0.495, 0.500, 0.575)

---

Material: CaHoMg2
Method: DFT, PBE
State: optimized geometry

Results
DFT total energy = -2.511 eV/atom
space group = P4/mmm, No. 123
E_form = -0.07 eV/atom
ρ = 3.658 g/cm3
total moment = 0.0 Bohr magnetons per cell

Unit cell a=5.506 b=5.506 c=3.799 alpha=90.00 beta=90.00 gamma=90.00
Sites, in units of the cell vectors:
Ca (0.000, 0.000, 0.000)
Ho (0.500, 0.500, 0.000)
Mg (0.000, 0.500, 0.500)
Mg (0.500, 0.000, 0.500)

---

Material: Rb14TlO
Method: DFT, PBE
State: optimized geometry

Results
DFT total energy = -1.440 eV/atom
space group = Amm2, No. 38
ρ = 1.800 g/cm3
total moment = 0.0 Bohr magnetons per cell

Unit cell a=12.304 b=10.770 c=10.770 alpha=66.34 beta=90.00 gamma=90.00
Sites, in units of the cell vectors:
Rb (0.000, 0.000, 0.000)
Rb (0.000, 0.422, 0.422)
Rb (0.000, 0.517, 0.916)
Rb (0.000, 0.916, 0.517)
Rb (0.280, 0.216, 0.216)
Rb (0.302, 0.277, 0.719)
Rb (0.302, 0.719, 0.277)
Rb (0.329, 0.844, 0.844)
Rb (0.500, 0.510, 0.888)
Rb (0.500, 0.888, 0.510)
Rb (0.671, 0.844, 0.844)
Rb (0.698, 0.277, 0.719)
Rb (0.698, 0.719, 0.277)
Rb (0.720, 0.216, 0.216)
Tl (0.500, 0.054, 0.054)
O (0.500, 0.766, 0.766)

---

Material: Cd2TcAg
Method: DFT, PBE
State: optimized geometry

Results
DFT total energy = -3.313 eV/atom
space group = Immm, No. 71
offset from the most stable computed form = 4.397 kcal/mol of atoms
E_form = 0.45 eV/atom
ρ = 9.806 g/cm3
total moment = 0.0 Bohr magnetons per cell

Unit cell a=5.694 b=5.694 c=5.694 alpha=149.87 beta=127.42 gamma=61.80
Sites, in units of the cell vectors:
Cd (0.249, 0.249, 0.000)
Cd (0.751, 0.751, 0.000)
Tc (0.500, 0.000, 0.500)
Ag (0.000, 0.500, 0.500)

---

Material: Sr2CaFe
Method: DFT, PBE
State: optimized geometry

Results
DFT total energy = -2.934 eV/atom
space group = R-3m, No. 166
offset from the most stable computed form = 3.064 kcal/mol of atoms
E_form = 0.52 eV/atom
ρ = 2.894 g/cm3
total moment = 2.2 Bohr magnetons per cell

Unit cell a=11.308 b=11.308 c=11.308 alpha=20.52 beta=20.52 gamma=20.52
Sites, in units of the cell vectors:
Sr (0.228, 0.228, 0.228)
Sr (0.772, 0.772, 0.772)
Ca (0.000, 0.000, 0.000)
Fe (0.500, 0.500, 0.500)

---

Material: ReAg2Hg
Method: DFT, PBE
State: optimized geometry

Results
DFT total energy = -4.075 eV/atom
space group = P4/mmm, No. 123
E_form = 0.54 eV/atom
ρ = 14.036 g/cm3
total moment = 0.0 Bohr magnetons per cell

Unit cell a=2.775 b=2.775 c=9.255 alpha=90.00 beta=90.00 gamma=90.00
Sites, in units of the cell vectors:
Re (0.000, 0.000, 0.000)
Ag (0.500, 0.500, 0.235)
Ag (0.500, 0.500, 0.765)
Hg (0.000, 0.000, 0.500)

---

Material: HoPaTcRu
Method: DFT, PBE
State: optimized geometry

Results
DFT total energy = -8.734 eV/atom
space group = F-43m, No. 216
offset from the most stable computed form = 1.849 kcal/mol of atoms
E_form = -0.31 eV/atom
ρ = 12.343 g/cm3
total moment = 0.0 Bohr magnetons per cell

Unit cell a=4.838 b=4.838 c=4.838 alpha=60.00 beta=60.00 gamma=60.00
Sites, in units of the cell vectors:
Ho (0.000, 0.000, 0.000)
Pa (0.500, 0.500, 0.500)
Tc (0.750, 0.750, 0.750)
Ru (0.250, 0.250, 0.250)

---

Material: Th5Mg4Tl4
Method: DFT, PBE
State: optimized geometry

Results
DFT total energy = -4.168 eV/atom
space group = I4/m, No. 87
E_form = -0.10 eV/atom
ρ = 9.445 g/cm3
total moment = 0.0 Bohr magnetons per cell

Unit cell a=9.295 b=9.295 c=9.295 alpha=93.34 beta=93.34 gamma=152.08
Sites, in units of the cell vectors:
Th (0.000, 0.000, 0.000)
Th (0.301, 0.366, 0.666)
Th (0.366, 0.699, 0.065)
Th (0.634, 0.301, 0.935)
Th (0.699, 0.634, 0.334)
Mg (0.104, 0.582, 0.686)
Mg (0.418, 0.104, 0.522)
Mg (0.582, 0.896, 0.478)
Mg (0.896, 0.418, 0.314)
Tl (0.054, 0.252, 0.306)
Tl (0.252, 0.946, 0.198)
Tl (0.748, 0.054, 0.802)
Tl (0.946, 0.748, 0.694)

---

Material: Tb2BeAl3Au4
Method: DFT, PBE
State: optimized geometry

Results
DFT total energy = -4.359 eV/atom
space group = P-4m2, No. 115
E_form = -0.63 eV/atom
ρ = 10.309 g/cm3
total moment = 0.0 Bohr magnetons per cell

Unit cell a=4.321 b=4.321 c=10.317 alpha=90.00 beta=90.00 gamma=90.00
Sites, in units of the cell vectors:
Tb (0.000, 0.500, 0.240)
Tb (0.500, 0.000, 0.760)
Be (0.500, 0.500, 0.000)
Al (0.000, 0.000, 0.000)
Al (0.000, 0.500, 0.637)
Al (0.500, 0.000, 0.363)
Au (0.000, 0.000, 0.500)
Au (0.000, 0.500, 0.877)
Au (0.500, 0.000, 0.123)
Au (0.500, 0.500, 0.500)

---

Material: K3ReAg
Method: DFT, PBE
State: optimized geometry

Results
DFT total energy = -2.314 eV/atom
space group = Pm-3m, No. 221
offset from the most stable computed form = 0.000 kcal/mol of atoms
E_form = 1.40 eV/atom
ρ = 2.752 g/cm3
total moment = 3.5 Bohr magnetons per cell

Unit cell a=6.285 b=6.285 c=6.285 alpha=90.00 beta=90.00 gamma=90.00
Sites, in units of the cell vectors:
K (0.000, 0.000, 0.500)
K (0.000, 0.500, 0.000)
K (0.500, 0.000, 0.000)
Re (0.500, 0.500, 0.500)
Ag (0.000, 0.000, 0.000)

---

Question: Which value of DFT total energy does entry 1 give?
Answer: -5.165 eV/atom